This record from Alexandria describes a relaxed structure of ZrAl2Ni. The functional is GGA-PBEsol.

a = 5.2013 Å, b = 5.2013 Å, c = 8.4102 Å
α = 71.99°, β = 71.99°, γ = 60.00°
Fractional coordinates of all 12 atoms:
Ni 0.3347 0.3347 0.9960
Ni 0.6653 0.6653 0.0040
Ni 0.5000 0.5000 0.5000
Al 0.0804 0.5831 0.7534
Al 0.5831 0.5831 0.7534
Al 0.5831 0.0804 0.7534
Al 0.9196 0.4169 0.2466
Al 0.4169 0.9196 0.2466
Al 0.4169 0.4169 0.2466
Zr 0.1432 0.1432 0.5704
Zr 0.8568 0.8568 0.4296
Zr 0.0000 0.0000 0.0000

E_form = -0.5958 eV/atom
SG = R-3m, No. 166
volume = 184 Å³/cell
density of states at the Fermi level = 3.5 states/eV/f.u.
uncorrected energy = -77.44 eV/cell
crystal system = trigonal